Arrangement a

# DyGa2Hg

A relaxed structure of DyGa2Hg (PBE, Alexandria). Values from VASP.

Summary:
M_tot = 0.00 μB/f.u.

Quantum ESPRESSO input file:
```
&SYSTEM
  ibrav = 0, nat = 4, ntyp = 3
/
ATOMIC_SPECIES
Dy 162.50 Dy.upf
Ga 69.72 Ga.upf
Hg 200.59 Hg.upf
ATOMIC_POSITIONS angstrom
Dy 0.000 0.000 0.000
Ga 0.000 2.221 2.133
Ga 2.221 0.000 2.133
Hg 2.221 2.221 0.000
CELL_PARAMETERS angstrom
4.442 0.000 0.000
0.000 4.442 0.000
0.000 0.000 4.266
```

=====

Arrangement b

# DyGa2Hg

A relaxed structure of DyGa2Hg (PBE, Alexandria). Values from VASP.

Summary:
M_tot = 0.00 μB/f.u.

Quantum ESPRESSO input file:
```
&SYSTEM
  ibrav = 0, nat = 4, ntyp = 3
/
ATOMIC_SPECIES
Dy 162.50 Dy.upf
Ga 69.72 Ga.upf
Hg 200.59 Hg.upf
ATOMIC_POSITIONS angstrom
Dy 0.000 0.000 0.000
Ga 0.000 0.000 3.533
Ga 0.000 0.000 11.773
Hg 0.000 0.000 7.653
CELL_PARAMETERS angstrom
2.222 1.283 5.102
-2.222 1.283 5.102
0.000 -2.566 5.102
```

=====

The energy of each structure relative to the most stable one, in meV/atom, is as follows: arrangement a 0; arrangement b 117.

=====

Arrangement a

# LaDyGaHg

A relaxed structure of LaDyGaHg (PBE, Alexandria). Values from VASP.

Summary:
M_tot = 0.01 μB/f.u.

Quantum ESPRESSO input file:
```
&SYSTEM
  ibrav = 0, nat = 4, ntyp = 4
/
ATOMIC_SPECIES
La 138.91 La.upf
Dy 162.50 Dy.upf
Ga 69.72 Ga.upf
Hg 200.59 Hg.upf
ATOMIC_POSITIONS angstrom
La 0.000 0.000 0.000
Dy 3.767 3.767 3.767
Ga 1.883 1.883 1.883
Hg 5.650 5.650 5.650
CELL_PARAMETERS angstrom
0.000 3.767 3.767
3.767 0.000 3.767
3.767 3.767 0.000
```

=====

Arrangement b

# LaDyGaHg

A relaxed structure of LaDyGaHg (PBE, Alexandria). Values from VASP.

Summary:
M_tot = 0.00 μB/f.u.

Quantum ESPRESSO input file:
```
&SYSTEM
  ibrav = 0, nat = 4, ntyp = 4
/
ATOMIC_SPECIES
La 138.91 La.upf
Dy 162.50 Dy.upf
Ga 69.72 Ga.upf
Hg 200.59 Hg.upf
ATOMIC_POSITIONS angstrom
La 0.000 0.000 0.000
Dy 0.000 0.000 3.609
Ga 1.847 1.847 1.926
Hg 1.847 1.847 5.408
CELL_PARAMETERS angstrom
3.694 0.000 0.000
0.000 3.694 0.000
0.000 0.000 7.680
```

=====

The energy of each structure relative to the most stable one, in meV/atom, is as follows: arrangement a 41; arrangement b 0.

=====

Arrangement a

# NdDyGaHg

A relaxed structure of NdDyGaHg (PBE, Alexandria). Values from VASP.

Summary:
M_tot = 0.00 μB/f.u.

Quantum ESPRESSO input file:
```
&SYSTEM
  ibrav = 0, nat = 4, ntyp = 4
/
ATOMIC_SPECIES
Nd 144.24 Nd.upf
Dy 162.50 Dy.upf
Ga 69.72 Ga.upf
Hg 200.59 Hg.upf
ATOMIC_POSITIONS angstrom
Nd 0.000 0.000 0.000
Dy 0.000 0.000 4.035
Ga 1.828 1.828 5.752
Hg 1.828 1.828 2.174
CELL_PARAMETERS angstrom
3.657 0.000 0.000
0.000 3.657 0.000
0.000 0.000 7.622
```

=====

Arrangement b

# NdDyGaHg

A relaxed structure of NdDyGaHg (PBE, Alexandria). Values from VASP.

Summary:
M_tot = 0.00 μB/f.u.

Quantum ESPRESSO input file:
```
&SYSTEM
  ibrav = 0, nat = 4, ntyp = 4
/
ATOMIC_SPECIES
Nd 144.24 Nd.upf
Dy 162.50 Dy.upf
Ga 69.72 Ga.upf
Hg 200.59 Hg.upf
ATOMIC_POSITIONS angstrom
Nd 0.000 0.000 0.000
Dy 3.724 3.724 3.724
Ga 5.586 5.586 5.586
Hg 1.862 1.862 1.862
CELL_PARAMETERS angstrom
0.000 3.724 3.724
3.724 0.000 3.724
3.724 3.724 0.000
```

=====

The energy of each structure relative to the most stable one, in meV/atom, is as follows: arrangement a 0; arrangement b 29.

=====

Arrangement a

# PmDyGaHg

A relaxed structure of PmDyGaHg (PBE, Alexandria). Values from VASP.

Summary:
M_tot = 0.00 μB/f.u.

Quantum ESPRESSO input file:
```
&SYSTEM
  ibrav = 0, nat = 4, ntyp = 4
/
ATOMIC_SPECIES
Pm 145.00 Pm.upf
Dy 162.50 Dy.upf
Ga 69.72 Ga.upf
Hg 200.59 Hg.upf
ATOMIC_POSITIONS angstrom
Pm 0.000 0.000 0.000
Dy 0.000 0.000 4.016
Ga 1.823 1.823 5.742
Hg 1.823 1.823 2.135
CELL_PARAMETERS angstrom
3.646 0.000 0.000
0.000 3.646 0.000
0.000 0.000 7.587
```

=====

Arrangement b

# PmDyGaHg

A relaxed structure of PmDyGaHg (PBE, Alexandria). Values from VASP.

Summary:
M_tot = 0.00 μB/f.u.

Quantum ESPRESSO input file:
```
&SYSTEM
  ibrav = 0, nat = 4, ntyp = 4
/
ATOMIC_SPECIES
Pm 145.00 Pm.upf
Dy 162.50 Dy.upf
Ga 69.72 Ga.upf
Hg 200.59 Hg.upf
ATOMIC_POSITIONS angstrom
Pm 0.000 0.000 0.000
Dy 3.711 3.711 3.711
Ga 5.566 5.566 5.566
Hg 1.855 1.855 1.855
CELL_PARAMETERS angstrom
0.000 3.711 3.711
3.711 0.000 3.711
3.711 3.711 0.000
```

=====

The energy of each structure relative to the most stable one, in meV/atom, is as follows: arrangement a 0; arrangement b 25.

=====

Arrangement a

# DyHoGa

A relaxed structure of DyHoGa (PBE, Alexandria). Values from VASP.

Summary:
M_tot = 0.00 μB/f.u.

Quantum ESPRESSO input file:
```
&SYSTEM
  ibrav = 0, nat = 6, ntyp = 3
/
ATOMIC_SPECIES
Dy 162.50 Dy.upf
Ho 164.93 Ho.upf
Ga 69.72 Ga.upf
ATOMIC_POSITIONS angstrom
Dy 1.257 0.000 1.278
Dy 15.065 0.000 3.859
Ho 3.637 0.000 3.851
Ho 12.686 0.000 1.286
Ga 6.906 0.000 1.294
Ga 9.416 0.000 3.843
CELL_PARAMETERS angstrom
8.164 -1.828 0.000
8.164 1.828 0.000
-0.005 0.000 5.137
```

=====

Arrangement b

# DyHoGa

A relaxed structure of DyHoGa (PBE, Alexandria). Values from VASP.

Summary:
M_tot = 0.01 μB/f.u.

Quantum ESPRESSO input file:
```
&SYSTEM
  ibrav = 0, nat = 6, ntyp = 3
/
ATOMIC_SPECIES
Dy 162.50 Dy.upf
Ho 164.93 Ho.upf
Ga 69.72 Ga.upf
ATOMIC_POSITIONS angstrom
Dy 1.116 3.349 0.000
Dy 3.349 1.116 0.000
Ho 1.116 1.116 2.864
Ho 3.349 3.349 5.036
Ga 1.116 1.116 5.789
Ga 3.349 3.349 2.111
CELL_PARAMETERS angstrom
4.465 0.000 0.000
0.000 4.465 0.000
0.000 0.000 7.900
```

=====

Arrangement c

# DyHoGa

A relaxed structure of DyHoGa (PBE, Alexandria). Values from VASP.

Summary:
M_tot = 0.37 μB/f.u.

Quantum ESPRESSO input file:
```
&SYSTEM
  ibrav = 0, nat = 6, ntyp = 3
/
ATOMIC_SPECIES
Dy 162.50 Dy.upf
Ho 164.93 Ho.upf
Ga 69.72 Ga.upf
ATOMIC_POSITIONS angstrom
Dy 0.000 2.068 4.303
Dy 1.791 1.034 10.457
Ho 0.000 2.068 13.349
Ho 1.791 1.034 1.411
Ga 0.000 2.068 8.230
Ga 1.791 1.034 6.530
CELL_PARAMETERS angstrom
3.582 0.000 0.000
-1.791 3.102 0.000
0.000 0.000 14.760
```

=====

The energy of each structure relative to the most stable one, in meV/atom, is as follows: arrangement a 0; arrangement b 47; arrangement c 259.

=====

Arrangement a

# DyHoGa

A relaxed structure of DyHoGa (PBE, Alexandria). Values from VASP.

Summary:
M_tot = 0.00 μB/f.u.

Quantum ESPRESSO input file:
```
&SYSTEM
  ibrav = 0, nat = 3, ntyp = 3
/
ATOMIC_SPECIES
Dy 162.50 Dy.upf
Ho 164.93 Ho.upf
Ga 69.72 Ga.upf
ATOMIC_POSITIONS angstrom
Dy 0.000 0.000 0.000
Ho 2.478 1.431 1.686
Ga 0.000 2.861 2.619
CELL_PARAMETERS angstrom
4.956 0.000 0.000
-2.478 4.292 0.000
0.000 0.000 3.636
```

=====

Arrangement b

# DyHoGa

A relaxed structure of DyHoGa (PBE, Alexandria). Values from VASP.

Summary:
M_tot = 0.00 μB/f.u.

Quantum ESPRESSO input file:
```
&SYSTEM
  ibrav = 0, nat = 3, ntyp = 3
/
ATOMIC_SPECIES
Dy 162.50 Dy.upf
Ho 164.93 Ho.upf
Ga 69.72 Ga.upf
ATOMIC_POSITIONS angstrom
Dy 0.000 0.000 0.000
Ho 3.497 3.497 3.497
Ga 5.246 5.246 5.246
CELL_PARAMETERS angstrom
0.000 3.497 3.497
3.497 0.000 3.497
3.497 3.497 0.000
```

=====

The energy of each structure relative to the most stable one, in meV/atom, is as follows: arrangement a 0; arrangement b 25.

=====

Arrangement a

# Dy2HoGa2

A relaxed structure of Dy2HoGa2 (PBE, Alexandria). Values from VASP.

Summary:
M_tot = 0.00 μB/f.u.

Quantum ESPRESSO input file:
```
&SYSTEM
  ibrav = 0, nat = 10, ntyp = 3
/
ATOMIC_SPECIES
Dy 162.50 Dy.upf
Ho 164.93 Ho.upf
Ga 69.72 Ga.upf
ATOMIC_POSITIONS angstrom
Dy 1.331 2.486 0.000
Dy 2.486 6.303 0.000
Dy 5.148 1.331 0.000
Dy 6.303 5.148 0.000
Ho 0.000 0.000 2.160
Ho 3.817 3.817 2.160
Ga 0.917 4.733 2.160
Ga 2.900 0.917 2.160
Ga 4.733 6.717 2.160
Ga 6.717 2.900 2.160
CELL_PARAMETERS angstrom
7.634 0.000 0.000
0.000 7.634 0.000
0.000 0.000 4.320
```

=====

Arrangement b

# Dy2HoGa2

A relaxed structure of Dy2HoGa2 (PBE, Alexandria). Values from VASP.

Summary:
M_tot = 0.00 μB/f.u.

Quantum ESPRESSO input file:
```
&SYSTEM
  ibrav = 0, nat = 5, ntyp = 3
/
ATOMIC_SPECIES
Dy 162.50 Dy.upf
Ho 164.93 Ho.upf
Ga 69.72 Ga.upf
ATOMIC_POSITIONS angstrom
Dy 1.618 0.000 0.406
Dy 9.643 0.000 5.343
Ho 5.630 0.000 2.874
Ga 1.736 0.000 3.528
Ga 9.525 0.000 2.221
CELL_PARAMETERS angstrom
6.267 -1.801 0.000
6.267 1.801 0.000
-1.273 0.000 5.749
```

=====

The energy of each structure relative to the most stable one, in meV/atom, is as follows: arrangement a 0; arrangement b 152.

=====

Arrangement a

# DyHo2Ga

A relaxed structure of DyHo2Ga (PBE, Alexandria). Values from VASP.

Summary:
M_tot = 0.00 μB/f.u.

Quantum ESPRESSO input file:
```
&SYSTEM
  ibrav = 0, nat = 4, ntyp = 3
/
ATOMIC_SPECIES
Dy 162.50 Dy.upf
Ho 164.93 Ho.upf
Ga 69.72 Ga.upf
ATOMIC_POSITIONS angstrom
Dy 0.000 0.000 0.000
Ho 1.753 1.753 2.568
Ho 1.753 1.753 6.278
Ga 0.000 0.000 4.423
CELL_PARAMETERS angstrom
3.506 0.000 0.000
0.000 3.506 0.000
0.000 0.000 8.846
```

=====

Arrangement b

# DyHo2Ga

A relaxed structure of DyHo2Ga (PBE, Alexandria). Values from VASP.

Summary:
M_tot = 0.93 μB/f.u.

Quantum ESPRESSO input file:
```
&SYSTEM
  ibrav = 0, nat = 4, ntyp = 3
/
ATOMIC_SPECIES
Dy 162.50 Dy.upf
Ho 164.93 Ho.upf
Ga 69.72 Ga.upf
ATOMIC_POSITIONS angstrom
Dy 0.000 0.000 0.000
Ho 0.000 0.000 3.426
Ho 0.000 0.000 30.186
Ga 0.000 0.000 16.806
CELL_PARAMETERS angstrom
1.739 1.004 11.204
-1.739 1.004 11.204
0.000 -2.008 11.204
```

=====

The energy of each structure relative to the most stable one, in meV/atom, is as follows: arrangement a 0; arrangement b 284.